1.
Ta3CdS | PBE-GGA | optimized geometry

Geometry as CIF:
```
data_Ta3CdS
_chemical_formula_sum 'Ta3 Cd1 S1'
_space_group_name_H-M_alt 'P 1'
_space_group_IT_number 1
_space_group_name_Hall 'P 1'
_cell_length_a 4.9837
_cell_length_b 4.9837
_cell_length_c 4.9837
_cell_angle_alpha 90.00
_cell_angle_beta 90.00
_cell_angle_gamma 90.00
loop_
_atom_site_label
_atom_site_fract_x
_atom_site_fract_y
_atom_site_fract_z
_atom_site_occupancy
S1 0.5000 0.5000 0.5000 1
Ta1 0.0000 0.5000 0.0000 1
Ta2 0.5000 0.0000 0.0000 1
Ta3 0.0000 0.0000 0.5000 1
Cd1 0.0000 0.0000 0.0000 1
```


2.
TaCdS3 | PBE-GGA | optimized geometry

Geometry as CIF:
```
data_TaCdS3
_chemical_formula_sum 'Ta1 Cd1 S3'
_space_group_name_H-M_alt 'P 1'
_space_group_IT_number 1
_space_group_name_Hall 'P 1'
_cell_length_a 4.8163
_cell_length_b 4.8163
_cell_length_c 4.8163
_cell_angle_alpha 90.00
_cell_angle_beta 90.00
_cell_angle_gamma 90.00
loop_
_atom_site_label
_atom_site_fract_x
_atom_site_fract_y
_atom_site_fract_z
_atom_site_occupancy
Cd1 0.0000 0.0000 0.0000 1
S1 0.0000 0.5000 0.0000 1
S2 0.5000 0.0000 0.0000 1
S3 0.0000 0.0000 0.5000 1
Ta1 0.5000 0.5000 0.5000 1
```


3.
TaCdS2 | PBE-GGA | optimized geometry

Geometry as CIF:
```
data_TaCdS2
_chemical_formula_sum 'Ta2 Cd2 S4'
_space_group_name_H-M_alt 'P 1'
_space_group_IT_number 1
_space_group_name_Hall 'P 1'
_cell_length_a 7.4217
_cell_length_b 7.4217
_cell_length_c 7.4250
_cell_angle_alpha 60.01
_cell_angle_beta 60.01
_cell_angle_gamma 90.00
loop_
_atom_site_label
_atom_site_fract_x
_atom_site_fract_y
_atom_site_fract_z
_atom_site_occupancy
Ta1 0.7500 0.2500 0.5000 1
Ta2 0.0000 0.0000 0.0000 1
S1 0.8395 0.1250 0.2500 1
S2 0.8750 0.0895 0.7500 1
S3 0.3750 0.1605 0.7500 1
S4 0.9105 0.6250 0.2500 1
Cd1 0.5000 0.5000 0.0000 1
Cd2 0.2500 0.7500 0.5000 1
```


| no. | E_form (uncorrected) (eV/atom) | raw total energy (Ha/atom) |
| --- | --- | --- |
| 1 | 2.41 | -0.2098 |
| 2 | 1.11 | -0.1440 |
| 3 | -0.24 | -0.2021 |